PaPb2S6 (GGA-PBE, relaxed); symmetry = Amm2, No. 38; crystal system = orthorhombic; ρ = 6.258 g cm⁻³; final energy = -47.531 eV/cell; formation energy without anion corrections = -5.9 eV/f.u.; V = 222 Å³ per cell
1.0
4.036 0.000 0.000
0.000 7.174 3.839
0.000 -7.174 3.839
Pa Pb S
1 2 6
Direct
0.000 0.000 0.000
0.500 0.144 0.552
0.500 0.552 0.144
0.000 0.272 0.899
0.000 0.668 0.668
0.000 0.899 0.272
0.500 0.227 0.227
0.500 0.655 0.858
0.500 0.858 0.655

=====

Tl2RhPb (GGA-PBE, relaxed); symmetry = C2/m, No. 12; crystal system = monoclinic; ρ = 12.164 g cm⁻³; final energy = -28.879 eV/cell; offset from the most stable computed form = 0.2984 eV per atom; V = 196 Å³ per cell; formation energy = 338.2 meV per atom
1.0
6.023 0.000 0.000
0.000 10.878 0.000
-1.857 0.000 2.995
Tl Rh Pb
4 2 2
Direct
0.250 0.250 0.000
0.250 0.750 0.000
0.750 0.250 0.000
0.750 0.750 0.000
0.000 0.000 0.500
0.500 0.500 0.500
0.000 0.500 0.500
0.500 0.000 0.500

=====

HoSc3N (GGA-PBE, relaxed); symmetry = Pm-3m, No. 221; crystal system = cubic; ρ = 5.231 g cm⁻³; final energy = -34.530 eV/cell; formation energy without anion corrections = -2.6 eV/f.u.; V = 100 Å³ per cell
1.0
4.636 0.000 0.000
0.000 4.636 0.000
0.000 0.000 4.636
Ho Sc N
1 3 1
Direct
0.000 0.000 0.000
0.000 0.500 0.500
0.500 0.000 0.500
0.500 0.500 0.000
0.500 0.500 0.500